## Ba2La3Ti2Cr3O15 (PBEsol)

Data for Ba2La3Ti2Cr3O15 after structural relaxation.

Computed properties:
DOS at the Fermi energy = 3.83 states/eV/f.u.
raw total energy = -8.765 eV/atom
formation energy without anion corrections = -2.907 eV/atom
calculated volume = 11.9 Å³/atom

a b c (Å): 14.0005 14.0005 3.9027
angles (deg): 90.00 90.00 157.20
Fractional positions:
1 Ba 0.1981 0.8019 0.0000
2 Ba 0.8019 0.1981 0.0000
3 La 0.0000 0.0000 0.0000
4 La 0.4036 0.5964 0.0000
5 La 0.5964 0.4036 0.0000
6 Ti 0.3020 0.6980 0.5000
7 Ti 0.6980 0.3020 0.5000
8 Cr 0.0990 0.9010 0.5000
9 Cr 0.5000 0.5000 0.5000
10 Cr 0.9010 0.0990 0.5000
11 O 0.0000 0.5000 0.5000
12 O 0.0931 0.9069 0.0000
13 O 0.1147 0.4061 0.5000
14 O 0.2020 0.3001 0.5000
15 O 0.3001 0.2020 0.5000
16 O 0.3046 0.6954 0.0000
17 O 0.4061 0.1147 0.5000
18 O 0.5000 0.0000 0.5000
19 O 0.5000 0.5000 0.0000
20 O 0.5939 0.8853 0.5000
21 O 0.6954 0.3046 0.0000
22 O 0.6999 0.7980 0.5000
23 O 0.7980 0.6999 0.5000
24 O 0.8853 0.5939 0.5000
25 O 0.9069 0.0931 0.0000

***

## BaLiCr2 (PBEsol)

Data for BaLiCr2 after structural relaxation.

Computed properties:
DOS at the Fermi energy = 3.22 states/eV/f.u.
raw total energy = -4.911 eV/atom
calculated volume = 23.9 Å³/atom
energy above the lowest structure with this stoichiometry = 0.579 eV/atom

a b c (Å): 3.2940 3.2940 30.4915
angles (deg): 90.00 90.00 120.00
Fractional positions:
1 Ba 0.0000 0.0000 0.0000
2 Ba 0.3333 0.6667 0.6667
3 Ba 0.6667 0.3333 0.3333
4 Li 0.0000 0.0000 0.5000
5 Li 0.3333 0.6667 0.1667
6 Li 0.6667 0.3333 0.8333
7 Cr 0.0000 0.0000 0.2391
8 Cr 0.0000 0.0000 0.7609
9 Cr 0.3333 0.6667 0.4275
10 Cr 0.3333 0.6667 0.9058
11 Cr 0.6667 0.3333 0.0942
12 Cr 0.6667 0.3333 0.5725

***

## Ba2LiCr (PBEsol)

Data for Ba2LiCr after structural relaxation.

Computed properties:
DOS at the Fermi energy = 3.62 states/eV/f.u.
raw total energy = -3.584 eV/atom
calculated volume = 35.8 Å³/atom

a b c (Å): 3.9606 3.9606 9.1246
angles (deg): 90.00 90.00 90.00
Fractional positions:
1 Ba 0.0000 0.0000 0.0000
2 Ba 0.5000 0.5000 0.3826
3 Li 0.5000 0.5000 0.7436
4 Cr 0.0000 0.0000 0.6280

***

## BaLiCr2 (PBEsol)

Data for BaLiCr2 after structural relaxation.

Computed properties:
DOS at the Fermi energy = 3.78 states/eV/f.u.
raw total energy = -5.490 eV/atom
calculated volume = 21.1 Å³/atom
energy above the lowest structure with this stoichiometry = 0.000 eV/atom

a b c (Å): 3.1828 3.1828 8.3421
angles (deg): 90.00 90.00 90.00
Fractional positions:
1 Ba 0.0000 0.0000 0.0000
2 Li 0.5000 0.5000 0.6408
3 Cr 0.0000 0.0000 0.4210
4 Cr 0.5000 0.5000 0.3181

***

## BaLiCr2 (PBEsol)

Data for BaLiCr2 after structural relaxation.

Computed properties:
DOS at the Fermi energy = 3.15 states/eV/f.u.
raw total energy = -5.073 eV/atom
calculated volume = 25.1 Å³/atom
energy above the lowest structure with this stoichiometry = 0.417 eV/atom

a b c (Å): 3.6079 3.6220 7.6747
angles (deg): 90.00 90.00 90.00
Fractional positions:
1 Ba 0.0000 0.0000 0.0000
2 Li 0.0000 0.0000 0.5000
3 Cr 0.5000 0.5000 0.3125
4 Cr 0.5000 0.5000 0.6875

***

## Ba2MgCrP (PBEsol)

Data for Ba2MgCrP after structural relaxation.

Computed properties:
DOS at the Fermi energy = 4.03 states/eV/f.u.
raw total energy = -4.476 eV/atom
calculated volume = 35.2 Å³/atom

a b c (Å): 6.2726 6.2726 4.4713
angles (deg): 90.00 90.00 90.00
Fractional positions:
1 Ba 0.0000 0.5000 0.0000
2 Ba 0.5000 0.0000 0.0000
3 Mg 0.0000 0.0000 0.5000
4 Cr 0.5000 0.5000 0.5000
5 P 0.5000 0.5000 0.0000

***

## BaCrMo2 (PBEsol)

Data for BaCrMo2 after structural relaxation.

Computed properties:
DOS at the Fermi energy = 4.99 states/eV/f.u.
raw total energy = -8.116 eV/atom
calculated volume = 23.7 Å³/atom
energy above the lowest structure with this stoichiometry = 0.000 eV/atom

a b c (Å): 8.0550 3.8153 6.6509
angles (deg): 90.00 112.08 90.00
Fractional positions:
1 Ba 0.0000 0.0000 0.0000
2 Ba 0.5000 0.5000 0.0000
3 Cr 0.0000 0.5000 0.5000
4 Cr 0.5000 0.0000 0.5000
5 Mo 0.1852 0.0000 0.5786
6 Mo 0.3148 0.5000 0.4214
7 Mo 0.6852 0.5000 0.5786
8 Mo 0.8148 0.0000 0.4214

***

## Ba4CrMo (PBEsol)

Data for Ba4CrMo after structural relaxation.

Computed properties:
DOS at the Fermi energy = 8.17 states/eV/f.u.
raw total energy = -3.599 eV/atom
calculated volume = 39.5 Å³/atom

a b c (Å): 6.9482 6.9482 6.9482
angles (deg): 60.00 60.00 60.00
Fractional positions:
1 Ba 0.1248 0.1248 0.1248
2 Ba 0.1248 0.1248 0.6255
3 Ba 0.1248 0.6255 0.1248
4 Ba 0.6255 0.1248 0.1248
5 Cr 0.5000 0.5000 0.5000
6 Mo 0.7500 0.7500 0.7500

***

## BaCr3Mo (PBEsol)

Data for BaCr3Mo after structural relaxation.

Computed properties:
DOS at the Fermi energy = 5.03 states/eV/f.u.
raw total energy = -5.969 eV/atom
calculated volume = 21.7 Å³/atom

a b c (Å): 4.7732 4.7732 4.7732
angles (deg): 90.00 90.00 90.00
Fractional positions:
1 Ba 0.0000 0.0000 0.0000
2 Cr 0.0000 0.0000 0.5000
3 Cr 0.0000 0.5000 0.0000
4 Cr 0.5000 0.0000 0.0000
5 Mo 0.5000 0.5000 0.5000

***

## BaCrMo (PBEsol)

Data for BaCrMo after structural relaxation.

Computed properties:
DOS at the Fermi energy = 3.40 states/eV/f.u.
raw total energy = -6.945 eV/atom
calculated volume = 21.4 Å³/atom

a b c (Å): 3.1875 3.1875 7.2823
angles (deg): 90.00 90.00 120.00
Fractional positions:
1 Ba 0.0000 0.0000 0.0000
2 Cr 0.3333 0.6667 0.6078
3 Mo 0.6667 0.3333 0.4087

***

## BaCrMo2 (PBEsol)

Data for BaCrMo2 after structural relaxation.

Computed properties:
DOS at the Fermi energy = 4.71 states/eV/f.u.
raw total energy = -7.932 eV/atom
calculated volume = 18.9 Å³/atom
energy above the lowest structure with this stoichiometry = 0.184 eV/atom

a b c (Å): 3.0418 3.0418 28.2478
angles (deg): 90.00 90.00 120.00
Fractional positions:
1 Ba 0.0000 0.0000 0.0000
2 Ba 0.3333 0.6667 0.6667
3 Ba 0.6667 0.3333 0.3333
4 Cr 0.0000 0.0000 0.5000
5 Cr 0.3333 0.6667 0.1667
6 Cr 0.6667 0.3333 0.8333
7 Mo 0.0000 0.0000 0.2283
8 Mo 0.0000 0.0000 0.7717
9 Mo 0.3333 0.6667 0.4384
10 Mo 0.3333 0.6667 0.8949
11 Mo 0.6667 0.3333 0.1051
12 Mo 0.6667 0.3333 0.5616

***

## BaCrMo2N (PBEsol)

Data for BaCrMo2N after structural relaxation.

Computed properties:
DOS at the Fermi energy = 4.22 states/eV/f.u.
raw total energy = -8.295 eV/atom
formation energy without anion corrections = 0.596 eV/atom
calculated volume = 17.8 Å³/atom

a b c (Å): 4.0764 4.0764 5.3513
angles (deg): 90.00 90.00 90.00
Fractional positions:
1 Ba 0.0000 0.0000 0.0000
2 Cr 0.5000 0.5000 0.0000
3 Mo 0.0000 0.5000 0.5000
4 Mo 0.5000 0.0000 0.5000
5 N 0.0000 0.0000 0.5000

***

Which formula does entry 8 have?
Ba4CrMo